# CaIrCl PBE relaxed
data_CaIrCl
_chemical_formula_sum 'Ca4 Ir4 Cl4'
_cell_length_a 6.343
_cell_length_b 6.343
_cell_length_c 6.343
_cell_angle_alpha 90.00
_cell_angle_beta 90.00
_cell_angle_gamma 90.00
_symmetry_space_group_name_H-M 'F -4 3 m'
_symmetry_Int_Tables_number 216
_symmetry_space_group_name_Hall 'F -4 2 3'
loop_
_atom_site_label
_atom_site_type_symbol
_atom_site_fract_x
_atom_site_fract_y
_atom_site_fract_z
Ca1 Ca 0.000 0.000 0.000
Ir1 Ir 0.000 0.000 0.500
Cl1 Cl 0.250 0.250 0.750
# formation energy (no corrections)	0.19	eV per atom
# DFT total energy	-4.042	eV/atom
# D(E_F)	2.98	states/eV/f.u.
# density	7.0	g/cm3
# energy relative to the lowest polymorph listed for this composition	138.0	kJ per mole of atoms